Version i
{"formula": "KLi2H3O3", "functional": "PBE", "state": "optimized geometry", "magmom_total_mub_per_cell": 0.147, "vol_a3_per_cell": 238, "lattice": [[5.765, 0.000, 0.000], [0.000, 5.525, 0.000], [-1.328, 0.000, 7.464]], "species": ["K", "K", "Li", "Li", "Li", "Li", "H", "H", "H", "H", "H", "H", "O", "O", "O", "O", "O", "O"], "fractional_positions": [[0.231, 0.250, 0.003], [0.769, 0.750, 0.997], [0.414, 0.550, 0.343], [0.414, 0.950, 0.343], [0.586, 0.050, 0.657], [0.586, 0.450, 0.657], [0.182, 0.750, 0.737], [0.225, 0.250, 0.483], [0.242, 0.750, 0.836], [0.758, 0.250, 0.164], [0.775, 0.750, 0.517], [0.818, 0.250, 0.263], [0.173, 0.750, 0.217], [0.387, 0.250, 0.463], [0.392, 0.750, 0.129], [0.608, 0.250, 0.871], [0.613, 0.750, 0.537], [0.827, 0.250, 0.783]]}

***

Version ii
{"formula": "KLi2H3O3", "functional": "PBE", "state": "optimized geometry", "magmom_total_mub_per_cell": 0.150, "vol_a3_per_cell": 210, "lattice": [[5.204, 0.000, 0.000], [0.000, 5.679, 0.000], [-0.100, 0.000, 7.109]], "species": ["K", "K", "Li", "Li", "Li", "Li", "H", "H", "H", "H", "H", "H", "O", "O", "O", "O", "O", "O"], "fractional_positions": [[0.225, 0.250, 0.486], [0.775, 0.750, 0.514], [0.356, 0.549, 0.869], [0.356, 0.951, 0.869], [0.644, 0.049, 0.131], [0.644, 0.451, 0.131], [0.176, 0.750, 0.210], [0.219, 0.750, 0.312], [0.221, 0.250, 0.064], [0.779, 0.750, 0.936], [0.781, 0.250, 0.688], [0.824, 0.250, 0.790], [0.087, 0.750, 0.797], [0.286, 0.750, 0.640], [0.381, 0.250, 0.992], [0.619, 0.750, 0.008], [0.714, 0.250, 0.360], [0.913, 0.250, 0.203]]}

***

In order of decreasing stability: version ii, version i.

***

Version i
{"formula": "KLi2H3O3", "functional": "PBE", "state": "optimized geometry", "magmom_total_mub_per_cell": 0.118, "vol_a3_per_cell": 248, "lattice": [[6.031, 0.000, 0.000], [0.000, 5.506, 0.000], [-2.182, 0.000, 7.467]], "species": ["K", "K", "Li", "Li", "Li", "Li", "H", "H", "H", "H", "H", "H", "O", "O", "O", "O", "O", "O"], "fractional_positions": [[0.233, 0.250, 0.494], [0.767, 0.750, 0.506], [0.434, 0.550, 0.839], [0.434, 0.950, 0.839], [0.566, 0.050, 0.161], [0.566, 0.450, 0.161], [0.170, 0.750, 0.249], [0.227, 0.250, 0.939], [0.240, 0.750, 0.348], [0.760, 0.250, 0.652], [0.773, 0.750, 0.061], [0.830, 0.250, 0.751], [0.200, 0.750, 0.692], [0.391, 0.250, 0.949], [0.420, 0.750, 0.632], [0.580, 0.250, 0.368], [0.609, 0.750, 0.051], [0.800, 0.250, 0.308]]}

***

Version ii
{"formula": "KLi2H3O3", "functional": "PBE", "state": "optimized geometry", "magmom_total_mub_per_cell": 0.000, "vol_a3_per_cell": 178, "lattice": [[5.776, 0.000, 0.000], [0.000, 5.179, 0.000], [-1.377, 0.000, 5.965]], "species": ["K", "K", "Li", "Li", "Li", "Li", "H", "H", "H", "H", "H", "H", "O", "O", "O", "O", "O", "O"], "fractional_positions": [[0.155, 0.250, 0.266], [0.845, 0.750, 0.734], [0.347, 0.006, 0.815], [0.347, 0.494, 0.815], [0.653, 0.506, 0.185], [0.653, 0.994, 0.185], [0.033, 0.750, 0.350], [0.225, 0.750, 0.113], [0.387, 0.750, 0.448], [0.613, 0.250, 0.552], [0.775, 0.250, 0.887], [0.967, 0.250, 0.650], [0.084, 0.250, 0.795], [0.325, 0.750, 0.584], [0.383, 0.750, 0.077], [0.617, 0.250, 0.923], [0.675, 0.250, 0.416], [0.916, 0.750, 0.205]]}

***

In order of decreasing stability: version ii, version i.

***

Version i
{"formula": "KMgH2", "functional": "PBE", "state": "optimized geometry", "magmom_total_mub_per_cell": 0.000, "vol_a3_per_cell": 64, "lattice": [[0.000, 3.175, 3.175], [3.175, 0.000, 3.175], [3.175, 3.175, 0.000]], "species": ["K", "Mg", "H", "H"], "fractional_positions": [[0.000, 0.000, 0.000], [0.500, 0.500, 0.500], [0.250, 0.250, 0.250], [0.750, 0.750, 0.750]]}

***

Version ii
{"formula": "KMgH2", "functional": "PBE", "state": "optimized geometry", "magmom_total_mub_per_cell": 0.000, "vol_a3_per_cell": 158, "lattice": [[-2.639, 2.639, 5.664], [2.639, -2.639, 5.664], [2.639, 2.639, -5.664]], "species": ["K", "K", "Mg", "Mg", "H", "H", "H", "H"], "fractional_positions": [[0.000, 0.000, 0.000], [0.750, 0.250, 0.500], [0.250, 0.750, 0.500], [0.500, 0.500, 0.000], [0.320, 0.625, 0.195], [0.375, 0.570, 0.695], [0.430, 0.125, 0.805], [0.875, 0.680, 0.305]]}

***

Version iii
{"formula": "KMgH2", "functional": "PBE", "state": "optimized geometry", "magmom_total_mub_per_cell": 0.714, "vol_a3_per_cell": 73, "lattice": [[1.719, 0.993, 7.108], [-1.719, 0.993, 7.108], [0.000, -1.985, 7.108]], "species": ["K", "Mg", "H", "H"], "fractional_positions": [[0.000, 0.000, 0.000], [0.500, 0.500, 0.500], [0.126, 0.126, 0.126], [0.874, 0.874, 0.874]]}

***

In order of decreasing stability: version ii, version iii, version i.

***

Version i
{"formula": "K2MgH", "functional": "PBE", "state": "optimized geometry", "magmom_total_mub_per_cell": 0.000, "vol_a3_per_cell": 147, "lattice": [[0.000, 4.188, 4.188], [4.188, 0.000, 4.188], [4.188, 4.188, 0.000]], "species": ["K", "K", "Mg", "H"], "fractional_positions": [[0.250, 0.250, 0.250], [0.750, 0.750, 0.750], [0.000, 0.000, 0.000], [0.500, 0.500, 0.500]]}

***

Version ii
{"formula": "K2MgH", "functional": "PBE", "state": "optimized geometry", "magmom_total_mub_per_cell": 1.722, "vol_a3_per_cell": 312, "lattice": [[-4.087, 4.087, 4.672], [4.087, -4.087, 4.672], [4.087, 4.087, -4.672]], "species": ["K", "K", "K", "K", "Mg", "Mg", "H", "H"], "fractional_positions": [[0.004, 0.125, 0.379], [0.375, 0.996, 0.121], [0.746, 0.625, 0.621], [0.875, 0.254, 0.879], [0.250, 0.750, 0.500], [0.500, 0.500, 0.000], [0.000, 0.000, 0.000], [0.750, 0.250, 0.500]]}

***

In order of decreasing stability: version ii, version i.

***

Version i
{"formula": "K2MgH2", "functional": "PBE", "state": "optimized geometry", "magmom_total_mub_per_cell": 0.000, "vol_a3_per_cell": 243, "lattice": [[8.467, 0.000, 0.000], [0.000, 8.467, 0.000], [0.000, 0.000, 3.388]], "species": ["K", "K", "K", "K", "Mg", "Mg", "H", "H", "H", "H"], "fractional_positions": [[0.138, 0.362, 0.000], [0.362, 0.862, 0.000], [0.638, 0.138, 0.000], [0.862, 0.638, 0.000], [0.000, 0.000, 0.000], [0.500, 0.500, 0.000], [0.145, 0.645, 0.500], [0.355, 0.145, 0.500], [0.645, 0.855, 0.500], [0.855, 0.355, 0.500]]}

***

Version ii
{"formula": "K2MgH2", "functional": "PBE", "state": "optimized geometry", "magmom_total_mub_per_cell": 0.000, "vol_a3_per_cell": 148, "lattice": [[-2.492, 2.492, 5.953], [2.492, -2.492, 5.953], [2.492, 2.492, -5.953]], "species": ["K", "K", "Mg", "H", "H"], "fractional_positions": [[0.178, 0.178, 0.000], [0.822, 0.822, 0.000], [0.500, 0.500, 0.000], [0.250, 0.750, 0.500], [0.750, 0.250, 0.500]]}

***

In order of decreasing stability: version ii, version i.